Crystalline Sm2TlCu at its relaxed geometry. Source: Alexandria via LeMat-Bulk, functional GGA-PBE.

Lattice parameters (Å, degrees): 3.586 3.586 10.908 80.54 80.54 60.00
Element x y z (fractional)
1 Tl 0.000 0.000 0.000
2 Cu 0.500 0.500 0.500
3 Sm 0.103 0.103 0.692
4 Sm 0.897 0.897 0.308

total moment: 0.00 μB per formula unit
energy of formation from the pure elements: 0.13 eV/atom
ρ: 7.9 Mg/m³